Record 1
Density functional theory data (PBE) for crystalline Pr2Nd2Hg at its relaxed geometry.

Geometry as CIF:
```
data_Pr2Nd2Hg
_chemical_formula_sum 'Pr4 Nd4 Hg2'
_cell_length_a 8.6554
_cell_length_b 6.4840
_cell_length_c 9.3288
_cell_angle_alpha 68.65
_cell_angle_beta 56.94
_cell_angle_gamma 48.13
_space_group_name_H-M_alt 'P 1'
_space_group_IT_number 1
loop_
_space_group_symop_operation_xyz
'x,y,z'
loop_
_atom_site_label
_atom_site_fract_x
_atom_site_fract_y
_atom_site_fract_z
Pr1 0.7346 0.0000 0.4232
Pr2 0.6038 0.0000 0.1152
Pr3 0.3962 0.0000 0.8848
Pr4 0.2654 0.0000 0.5768
Nd1 0.6709 0.3754 0.7209
Nd2 0.3291 0.6246 0.2791
Nd3 0.0463 0.6246 0.7209
Nd4 0.9537 0.3754 0.2791
Hg1 0.1623 0.6754 0.0000
Hg2 0.8377 0.3246 0.0000
```

- N(E_F) (states/eV per atom) = 1.073
- formation enthalpy at 0 K (eV per atom) = -0.10
- electronic total energy (Ha/atom) = -0.146


Record 2
Density functional theory data (PBE) for crystalline GaSiPd4 at its relaxed geometry.

Geometry as CIF:
```
data_GaSiPd4
_chemical_formula_sum 'Ga4 Si4 Pd16'
_cell_length_a 3.5364
_cell_length_b 6.6380
_cell_length_c 15.2832
_cell_angle_alpha 90.00
_cell_angle_beta 90.00
_cell_angle_gamma 90.00
_space_group_name_H-M_alt 'P 1'
_space_group_IT_number 1
loop_
_space_group_symop_operation_xyz
'x,y,z'
loop_
_atom_site_label
_atom_site_fract_x
_atom_site_fract_y
_atom_site_fract_z
Ga1 0.7500 0.7502 0.8085
Ga2 0.2500 0.2498 0.1915
Ga3 0.2500 0.7498 0.3085
Ga4 0.7500 0.2502 0.6915
Si1 0.7500 0.2499 0.4413
Si2 0.2500 0.7501 0.5587
Si3 0.2500 0.2501 0.9413
Si4 0.7500 0.7499 0.0587
Pd1 0.7500 0.8821 0.6515
Pd2 0.2500 0.1179 0.3485
Pd3 0.2500 0.6179 0.1515
Pd4 0.7500 0.3821 0.8485
Pd5 0.7500 0.8621 0.4497
Pd6 0.2500 0.1379 0.5503
Pd7 0.2500 0.6379 0.9497
Pd8 0.7500 0.3621 0.0503
Pd9 0.7500 0.9924 0.9315
Pd10 0.2500 0.0076 0.0685
Pd11 0.2500 0.5076 0.4315
Pd12 0.7500 0.4924 0.5685
Pd13 0.7500 0.9424 0.2127
Pd14 0.2500 0.0576 0.7873
Pd15 0.2500 0.5576 0.7127
Pd16 0.7500 0.4424 0.2873
```

- N(E_F) (states/eV per atom) = 0.267
- electronic total energy (Ha/atom) = -0.203


Record 3
Density functional theory data (PBE) for crystalline SrCa2PmIn4 at its relaxed geometry.

Geometry as CIF:
```
data_SrCa2PmIn4
_chemical_formula_sum 'Sr1 Ca2 Pm1 In4'
_cell_length_a 5.5208
_cell_length_b 5.5208
_cell_length_c 9.5773
_cell_angle_alpha 73.25
_cell_angle_beta 73.25
_cell_angle_gamma 60.00
_space_group_name_H-M_alt 'P 1'
_space_group_IT_number 1
loop_
_space_group_symop_operation_xyz
'x,y,z'
loop_
_atom_site_label
_atom_site_fract_x
_atom_site_fract_y
_atom_site_fract_z
Sr1 0.0000 0.0000 0.0000
Ca1 0.7495 0.7495 0.7515
Ca2 0.2505 0.2505 0.2485
Pm1 0.5000 0.5000 0.5000
In1 0.3785 0.3785 0.8645
In2 0.8734 0.8734 0.3798
In3 0.1266 0.1266 0.6202
In4 0.6215 0.6215 0.1355
```

- N(E_F) (states/eV per atom) = 0.639
- formation enthalpy at 0 K (eV per atom) = -0.46
- electronic total energy (Ha/atom) = -0.115


Record 4
Density functional theory data (PBE) for crystalline DyNp2Se4 at its relaxed geometry.

Geometry as CIF:
```
data_DyNp2Se4
_chemical_formula_sum 'Dy2 Np4 Se8'
_cell_length_a 8.1671
_cell_length_b 8.1704
_cell_length_c 8.1704
_cell_angle_alpha 60.42
_cell_angle_beta 60.01
_cell_angle_gamma 60.01
_space_group_name_H-M_alt 'P 1'
_space_group_IT_number 1
loop_
_space_group_symop_operation_xyz
'x,y,z'
loop_
_atom_site_label
_atom_site_fract_x
_atom_site_fract_y
_atom_site_fract_z
Dy1 0.5000 0.5000 0.0000
Dy2 0.0000 0.5000 0.0000
Np1 0.0000 0.0000 0.0000
Np2 0.0000 0.0000 0.5000
Np3 0.0000 0.5000 0.5000
Np4 0.5000 0.0000 0.5000
Se1 0.2560 0.2461 0.2419
Se2 0.7440 0.2581 0.2539
Se3 0.2560 0.7419 0.7461
Se4 0.7440 0.7539 0.7581
Se5 0.7551 0.7479 0.2479
Se6 0.7509 0.2521 0.7521
Se7 0.2491 0.7479 0.2479
Se8 0.2449 0.2521 0.7521
```

- N(E_F) (states/eV per atom) = 2.957
- electronic total energy (Ha/atom) = -0.282


Record 5
Density functional theory data (PBE) for crystalline MnCr2Se4 at its relaxed geometry.

Geometry as CIF:
```
data_MnCr2Se4
_chemical_formula_sum 'Mn2 Cr4 Se8'
_cell_length_a 7.5482
_cell_length_b 7.5482
_cell_length_c 7.5490
_cell_angle_alpha 59.99
_cell_angle_beta 59.99
_cell_angle_gamma 90.01
_space_group_name_H-M_alt 'P 1'
_space_group_IT_number 1
loop_
_space_group_symop_operation_xyz
'x,y,z'
loop_
_atom_site_label
_atom_site_fract_x
_atom_site_fract_y
_atom_site_fract_z
Cr1 0.5000 0.5000 0.5000
Cr2 0.5000 0.0000 0.5000
Cr3 0.0000 0.0000 0.0000
Cr4 0.5000 0.0000 0.0000
Mn1 0.8749 0.6251 0.7500
Mn2 0.1251 0.3749 0.2500
Se1 0.2606 0.7817 0.9788
Se2 0.7394 0.2183 0.0212
Se3 0.2817 0.7606 0.4788
Se4 0.2607 0.2395 0.5211
Se5 0.2605 0.2393 0.9789
Se6 0.7393 0.7605 0.4789
Se7 0.7183 0.2394 0.5212
Se8 0.7395 0.7607 0.0211
```

- N(E_F) (states/eV per atom) = 0.033
- electronic total energy (Ha/atom) = -0.242


Record 6
Density functional theory data (PBE) for crystalline GaC2N at its relaxed geometry.

Geometry as CIF:
```
data_GaC2N
_chemical_formula_sum 'Ga1 C2 N1'
_cell_length_a 3.7599
_cell_length_b 3.7599
_cell_length_c 3.7599
_cell_angle_alpha 60.00
_cell_angle_beta 60.00
_cell_angle_gamma 60.00
_space_group_name_H-M_alt 'P 1'
_space_group_IT_number 1
loop_
_space_group_symop_operation_xyz
'x,y,z'
loop_
_atom_site_label
_atom_site_fract_x
_atom_site_fract_y
_atom_site_fract_z
C1 0.2500 0.2500 0.2500
C2 0.7500 0.7500 0.7500
Ga1 0.5000 0.5000 0.5000
N1 0.0000 0.0000 0.0000
```

- N(E_F) (states/eV per atom) = 0.706
- electronic total energy (Ha/atom) = -0.160


Record 7
Density functional theory data (PBE) for crystalline LiInGaRu2 at its relaxed geometry.

Geometry as CIF:
```
data_LiInGaRu2
_chemical_formula_sum 'Li1 In1 Ga1 Ru2'
_cell_length_a 4.2912
_cell_length_b 4.2995
_cell_length_c 4.2912
_cell_angle_alpha 90.00
_cell_angle_beta 90.00
_cell_angle_gamma 90.00
_space_group_name_H-M_alt 'P 1'
_space_group_IT_number 1
loop_
_space_group_symop_operation_xyz
'x,y,z'
loop_
_atom_site_label
_atom_site_fract_x
_atom_site_fract_y
_atom_site_fract_z
Ru1 0.0000 0.0000 0.5000
Ru2 0.5000 0.0000 0.0000
Li1 0.0000 0.0000 0.0000
Ga1 0.5000 0.5000 0.5000
In1 0.0000 0.5000 0.0000
```

- N(E_F) (states/eV per atom) = 1.039
- formation enthalpy at 0 K (eV per atom) = 0.80
- electronic total energy (Ha/atom) = -0.163


Record 8
Density functional theory data (PBE) for crystalline LiNiIr2 at its relaxed geometry.

Geometry as CIF:
```
data_LiNiIr2
_chemical_formula_sum 'Li1 Ni1 Ir2'
_cell_length_a 2.6418
_cell_length_b 2.6418
_cell_length_c 8.7734
_cell_angle_alpha 90.00
_cell_angle_beta 90.00
_cell_angle_gamma 117.40
_space_group_name_H-M_alt 'P 1'
_space_group_IT_number 1
loop_
_space_group_symop_operation_xyz
'x,y,z'
loop_
_atom_site_label
_atom_site_fract_x
_atom_site_fract_y
_atom_site_fract_z
Ir1 0.0000 0.0000 0.9945
Ir2 0.0000 0.0000 0.5055
Li1 0.5000 0.5000 0.2500
Ni1 0.5000 0.5000 0.7500
```

- N(E_F) (states/eV per atom) = 1.470
- formation enthalpy at 0 K (eV per atom) = 0.06
- electronic total energy (Ha/atom) = -0.231


What is the electronic total energy in the third record?
-0.115 Ha/atom